{"formula": "Cs2KVF5", "functional": "GGA+U", "state": "relaxed", "final_energy_ry_per_atom": -0.357, "lattice": [[-2.117, 3.223, 6.927], [2.117, -3.223, 6.927], [2.117, 3.223, -6.927]], "species": ["Cs", "Cs", "K", "V", "F", "F", "F", "F", "F"], "frac_coords": [[0.213, 0.213, 0.000], [0.787, 0.787, 0.000], [0.500, 0.000, 0.500], [0.000, 0.500, 0.500], [0.000, 0.000, 0.000], [0.129, 0.391, 0.738], [0.346, 0.609, 0.738], [0.654, 0.391, 0.262], [0.871, 0.609, 0.262]]}